[1]
DFT (PBE) results for a geometry-optimized Cd2InSb structure.

Summary:
formation energy from raw total energies = 0.32 eV per formula unit
ΔE to the lowest computed polymorph = 0.17 eV/f.u.
spin magnetization = 0.0 μB/f.u.
electronic total energy = -2.093 eV per atom

Cell lengths 3.3755, 3.3755, 31.0384 Å; angles 90.00, 90.00, 120.00 degrees
Closest atoms and distances in Å follow each position.
Space group R-3m (No. 166, hexagonal axes)
Inequivalent atoms, fractional coordinates:
Cd: 0.0000 0.0000 0.2504 (multiplicity 6)  3 In 3.23, 3 Sb 3.25, 6 Cd 3.38
In: 0.0000 0.0000 0.0000 (multiplicity 3)  6 Cd 3.23, 6 In 3.38
Sb: 0.0000 0.0000 0.5000 (multiplicity 3)  6 Cd 3.25, 6 Sb 3.38


[2]
DFT (PBE) results for a geometry-optimized La12IrAu6 structure.

Summary:
spin magnetization = 0.0 μB/f.u.
ΔH_f (0 K) = -0.515 eV/atom
electronic total energy = -5.129 eV per atom

Cell lengths 13.1780, 13.1780, 12.8900 Å; angles 90.00, 90.00, 120.00 degrees
Closest atoms and distances in Å follow each position.
Space group R-3 (No. 148, hexagonal axes)
Inequivalent atoms, fractional coordinates:
La: 0.0272 0.2080 0.3967 (multiplicity 18)  4 Au 2.99-3.31
La: 0.0513 0.2015 0.8826 (multiplicity 18)  1 Ir 2.83, 1 Au 3.08
Ir: 0.0000 0.0000 0.0000 (multiplicity 3)  6 La 2.83
Au: 0.0464 0.2737 0.6463 (multiplicity 18)  6 La 2.99-3.31


[3]
DFT (PBE) results for a geometry-optimized Mo2AsPt structure.

Summary:
spin magnetization = 0.0 μB/f.u.
ΔH_f (0 K) = 0.086 eV/atom
electronic total energy = -8.003 eV per atom

Cell lengths 5.2401, 8.3893, 2.8598 Å; angles 90.00, 90.00, 90.00 degrees
Closest atoms and distances in Å follow each position.
Space group Cmmm (No. 65)
Inequivalent atoms, fractional coordinates:
Mo: 0.2500 0.2500 0.0000 (multiplicity 4)  4 Mo 2.62-2.86, 4 As 2.86, 4 Pt 2.86
As: 0.0000 0.0000 0.5000 (multiplicity 2)  2 Pt 2.62, 8 Mo 2.86, 2 As 2.86
Pt: 0.0000 0.5000 0.5000 (multiplicity 2)  2 As 2.62, 8 Mo 2.86, 2 Pt 2.86


[4]
DFT (PBE) results for a geometry-optimized Tb3Nd2Dy6Pb structure.

Summary:
spin magnetization = 0.0 μB/f.u.
ΔH_f (0 K) = -0.068 eV/atom
electronic total energy = -4.630 eV per atom

Cell lengths 6.1184, 10.6025, 11.7785 Å; angles 90.00, 100.02, 90.00 degrees
Closest atoms and distances in Å follow each position.
Space group C2/m (No. 12)
Inequivalent atoms, fractional coordinates:
Tb: 0.0000 0.0000 0.0000 (multiplicity 2)  6 Tb 3.53-3.54, 6 Dy 3.53-3.55
Tb: 0.0000 0.3325 0.0000 (multiplicity 4)  6 Tb 3.52-3.55, 6 Dy 3.53-3.56
Nd: 0.0000 0.1662 0.5000 (multiplicity 4)  3 Nd 3.52-3.54, 3 Pb 3.53-3.54, 6 Dy 3.56-3.57
Dy: 0.2434 0.5000 0.2486 (multiplicity 4)  6 Dy 3.46-3.57, 3 Tb 3.53-3.55, 1 Pb 3.54, 2 Nd 3.57
Dy: 0.2462 0.3366 0.7503 (multiplicity 8)  6 Dy 3.46-3.57, 1 Pb 3.52, 3 Tb 3.53-3.56, 2 Nd 3.56
Pb: 0.0000 0.5000 0.5000 (multiplicity 2)  6 Dy 3.52-3.54, 6 Nd 3.53-3.54


[5]
DFT (PBE) results for a geometry-optimized Nd2TlGe3Pt4 structure.

Summary:
spin magnetization = 0.0 μB/f.u.
ΔH_f (0 K) = -0.784 eV/atom
electronic total energy = -5.776 eV per atom

Cell lengths 4.3870, 4.3870, 10.6510 Å; angles 90.00, 90.00, 90.00 degrees
Closest atoms and distances in Å follow each position.
Space group P-4m2 (No. 115)
Inequivalent atoms, fractional coordinates:
Nd: 0.0000 0.5000 0.2400 (multiplicity 2)  8 Pt 3.31-3.37, 6 Ge 3.35-3.53, 2 Tl 3.53
Tl: 0.0000 0.0000 0.5000 (multiplicity 1)  4 Pt 2.73
Ge: 0.0000 0.5000 0.8793 (multiplicity 2)  5 Pt 2.42-2.54
Ge: 0.5000 0.5000 0.5000 (multiplicity 1)  4 Pt 2.73
Pt: 0.0000 0.0000 0.0000 (multiplicity 1)  4 Ge 2.54
Pt: 0.0000 0.5000 0.6524 (multiplicity 2)  1 Ge 2.42
Pt: 0.5000 0.5000 0.0000 (multiplicity 1)  4 Ge 2.54


[6]
DFT (PBE) results for a geometry-optimized SnBi2PbW structure.

Summary:
spin magnetization = 1.0 μB/f.u.
ΔH_f (0 K) = 0.765 eV/atom
electronic total energy = -4.920 eV per atom

Cell lengths 5.4264, 5.4264, 5.4645 Å; angles 90.00, 90.00, 90.00 degrees
Closest atoms and distances in Å follow each position.
Space group P4/mmm (No. 123)
Inequivalent atoms, fractional coordinates:
Sn: 0.0000 0.0000 0.0000 (multiplicity 1)  4 Pb 3.84, 8 Bi 3.85
Bi: 0.0000 0.5000 0.5000 (multiplicity 2)  2 W 2.71
Pb: 0.5000 0.5000 0.0000 (multiplicity 1)  2 W 2.73
W: 0.5000 0.5000 0.5000 (multiplicity 1)  4 Bi 2.71, 2 Pb 2.73